(1)
The following is a DFT calculation (PBE-GGA) of Ta4ZnRh5 after structural relaxation.

```
Ta4ZnRh5
1.0
2.9064 0.0000 0.0000
0.0000 2.9064 0.0000
0.0000 0.0000 18.4081
Rh Ta Zn
5 4 1
Direct
0.5000 0.5000 0.2928
0.5000 0.5000 0.9090
0.5000 0.5000 0.7072
0.5000 0.5000 0.5000
0.5000 0.5000 0.0910
0.0000 0.0000 0.1895
0.0000 0.0000 0.8105
0.0000 0.0000 0.3966
0.0000 0.0000 0.6034
0.0000 0.0000 0.0000
```

Properties
As for the symmetry: No. 123. The value obtained for the calculated density is 13.9 g/cm³. The density of states at the Fermi level is 0.796 states/eV per atom. The calculation puts the total energy at -9.0322 eV per atom.

***

(2)
The following is a DFT calculation (PBE-GGA) of MgTeAs2 after structural relaxation.

```
MgTeAs2
1.0
4.9870 0.2281 0.0000
-0.6673 4.9474 0.0000
0.0000 0.0000 3.5224
As Te Mg
2 1 1
Direct
0.0000 0.0000 0.0000
0.5000 0.5000 0.0000
0.0000 0.5000 0.5000
0.5000 0.0000 0.5000
```

Properties
As for the symmetry: No. 65. The value obtained for the calculated density is 5.7 g/cm³. The value obtained for the uncorrected formation energy is 0.11 eV per atom. The density of states at the Fermi level is 0.412 states/eV per atom. The calculation puts the total energy at -3.3997 eV per atom. Its energy above the lowest structure with this stoichiometry is 34.5 kJ per mole of atoms.

***

(3)
The following is a DFT calculation (PBE-GGA) of Ac4ZnPb2 after structural relaxation.

```
Ac4ZnPb2
1.0
-5.7482 -0.1727 4.8028
2.5318 -6.3154 2.8030
9.2195 4.9510 2.8275
Pb Ac Zn
4 8 2
Direct
0.6666 0.7500 0.0979
0.3334 0.2500 0.9021
0.2934 0.2500 0.4672
0.7066 0.7500 0.5329
0.1635 0.7500 0.8394
0.6043 0.9945 0.7740
0.0931 0.7500 0.4260
0.6043 0.5055 0.7740
0.3957 0.0055 0.2260
0.9069 0.2500 0.5740
0.3957 0.4945 0.2260
0.8365 0.2500 0.1606
0.9982 0.7500 0.0609
0.0018 0.2500 0.9391
```

Properties
As for the symmetry: No. 11. The value obtained for the calculated density is 8.9 g/cm³. The density of states at the Fermi level is 0.974 states/eV per atom. The calculation puts the total energy at -3.9414 eV per atom. Its energy above the lowest structure with this stoichiometry is 0.0 kJ per mole of atoms.

***

What is the calculated density in the first record? 13.9 g/cm³

***

What is the calculated density in the third record? 8.9 g/cm³

***

Repeat the third record exactly.
The following is a DFT calculation (PBE-GGA) of Ac4ZnPb2 after structural relaxation.

```
Ac4ZnPb2
1.0
-5.7482 -0.1727 4.8028
2.5318 -6.3154 2.8030
9.2195 4.9510 2.8275
Pb Ac Zn
4 8 2
Direct
0.6666 0.7500 0.0979
0.3334 0.2500 0.9021
0.2934 0.2500 0.4672
0.7066 0.7500 0.5329
0.1635 0.7500 0.8394
0.6043 0.9945 0.7740
0.0931 0.7500 0.4260
0.6043 0.5055 0.7740
0.3957 0.0055 0.2260
0.9069 0.2500 0.5740
0.3957 0.4945 0.2260
0.8365 0.2500 0.1606
0.9982 0.7500 0.0609
0.0018 0.2500 0.9391
```

Properties
As for the symmetry: No. 11. The value obtained for the calculated density is 8.9 g/cm³. The density of states at the Fermi level is 0.974 states/eV per atom. The calculation puts the total energy at -3.9414 eV per atom. Its energy above the lowest structure with this stoichiometry is 0.0 kJ per mole of atoms.

***

Which value of calculated density does entry 3 give? 8.9 g/cm³